Compound: Zr2ScNi
Source: Alexandria
Functional: PBE-GGA
Structure: relaxed

Computed properties:
* energy of formation: -47.0 kJ/mol of formula units
* space group: P4/mmm (123)

POSCAR file:
```
Zr2ScNi
1.0
3.248 -0.029 0.000
0.027 3.248 0.000
0.000 0.000 7.576
Ni Sc Zr
1 1 2
direct
0.500 0.500 0.250
0.500 0.500 0.750
0.000 0.000 0.041
0.000 0.000 0.459
```